Record 1
VASP calculation (GGA-PBE) on an optimized crystal structure of Tm6Tl5Zn.

Cell: 5.283 7.360 8.346 Å, 90.00 108.21 90.00°
Space group P2/m (No. 10)
Asymmetric unit:
Tm 0.000 0.243 0.000 [2 per cell]
Tm 0.338 0.245 0.675 [4 per cell]
Tl 0.166 0.000 0.331 [2 per cell]
Tl 0.168 0.500 0.337 [2 per cell]
Tl 0.500 0.500 0.000 [1 per cell]
Zn 0.500 0.000 0.000 [1 per cell]

## Properties
As for the total magnetic moment: 0.00 μB/cell. The calculation puts the distance to the lowest polymorph of the same formula at 0.000 eV per atom.

---

Record 2
VASP calculation (GGA-PBE) on an optimized crystal structure of TmTlZn.

Cell: 4.685 7.145 8.186 Å, 90.00 90.00 90.00°
Space group Imm2 (No. 44)
Asymmetric unit:
Tm 0.000 0.000 0.000 [2 per cell]
Tm 0.000 0.500 0.003 [2 per cell]
Tl 0.000 0.233 0.334 [4 per cell]
Zn 0.000 0.194 0.670 [4 per cell]

## Properties
As for the total magnetic moment: 0.00 μB/cell.

---

Record 3
VASP calculation (GGA-PBE) on an optimized crystal structure of TmTlZn.

Cell: 13.662 3.873 7.777 Å, 90.00 90.00 90.00°
Space group Pmma (No. 51)
Asymmetric unit:
Tm 0.056 0.000 0.225 [4 per cell]
Tm 0.250 0.000 0.817 [2 per cell]
Tl 0.112 0.500 0.564 [4 per cell]
Tl 0.250 0.500 0.153 [2 per cell]
Zn 0.087 0.500 0.932 [4 per cell]
Zn 0.250 0.000 0.427 [2 per cell]

## Properties
As for the total magnetic moment: 0.00 μB/cell.

---

| no. | DOS at the Fermi energy (states/eV/atom) | E_form (meV per atom) |
| --- | --- | --- |
| 1 | 0.73 | -297 |
| 2 | 0.42 | -258 |
| 3 | 0.53 | -251 |